# 1
A relaxed HgGe2Au crystal, computed with GGA-PBE.

Values from the calculation:
Density of states at the Fermi level (states/eV/cell): 5.93
Formation enthalpy at 0 K (eV/atom): 0.19
Volume (Å³ per atom): 21.58
Magnetic moment (μB/f.u.): 0.00
Theoretical density (g cm⁻³): 10.44
Raw total energy (eV/cell): -48.19
SG: I-42d

abc: 7.682 7.682 5.852
angles: 90.00 90.00 90.00
Fractional positions:
Hg 0.000 0.000 0.000
Hg 0.000 0.500 0.250
Hg 0.500 0.000 0.750
Hg 0.500 0.500 0.500
Ge 0.221 0.750 0.625
Ge 0.250 0.221 0.375
Ge 0.250 0.279 0.875
Ge 0.279 0.750 0.125
Ge 0.721 0.250 0.125
Ge 0.750 0.721 0.875
Ge 0.750 0.779 0.375
Ge 0.779 0.250 0.625
Au 0.000 0.000 0.500
Au 0.000 0.500 0.750
Au 0.500 0.000 0.250
Au 0.500 0.500 0.000

=====

# 2
A relaxed Er2Si2Pd5 crystal, computed with GGA-PBE.

Values from the calculation:
Density of states at the Fermi level (states/eV/cell): 3.34
Volume (Å³ per atom): 17.15
Energy relative to the elements, uncorrected (kcal/mol of atoms): -22.1
Magnetic moment (μB/f.u.): 0.00
Theoretical density (g cm⁻³): 9.93
Raw total energy (eV/cell): -54.56
SG: P4/mmm

abc: 4.148 4.148 8.969
angles: 90.00 90.00 90.00
Fractional positions:
Er 0.000 0.000 0.000
Er 0.000 0.000 0.500
Si 0.500 0.500 0.130
Si 0.500 0.500 0.870
Pd 0.000 0.500 0.269
Pd 0.000 0.500 0.731
Pd 0.500 0.000 0.269
Pd 0.500 0.000 0.731
Pd 0.500 0.500 0.500

=====

# 3
A relaxed KInAgHg2 crystal, computed with GGA-PBE.

Values from the calculation:
Density of states at the Fermi level (states/eV/cell): 3.24
Formation enthalpy at 0 K (eV/atom): 0.00
Volume (Å³ per atom): 32.94
Magnetic moment (μB/f.u.): 0.00
Theoretical density (g cm⁻³): 6.68
Raw total energy (eV/cell): -7.27
SG: P4/mmm

abc: 5.527 5.527 5.392
angles: 90.00 90.00 90.00
Fractional positions:
K 0.000 0.000 0.000
In 0.500 0.500 0.000
Ag 0.500 0.500 0.500
Hg 0.000 0.500 0.500
Hg 0.500 0.000 0.500

=====

Please write out number 2 again, unchanged.
A relaxed Er2Si2Pd5 crystal, computed with GGA-PBE.

Values from the calculation:
Density of states at the Fermi level (states/eV/cell): 3.34
Volume (Å³ per atom): 17.15
Energy relative to the elements, uncorrected (kcal/mol of atoms): -22.1
Magnetic moment (μB/f.u.): 0.00
Theoretical density (g cm⁻³): 9.93
Raw total energy (eV/cell): -54.56
SG: P4/mmm

abc: 4.148 4.148 8.969
angles: 90.00 90.00 90.00
Fractional positions:
Er 0.000 0.000 0.000
Er 0.000 0.000 0.500
Si 0.500 0.500 0.130
Si 0.500 0.500 0.870
Pd 0.000 0.500 0.269
Pd 0.000 0.500 0.731
Pd 0.500 0.000 0.269
Pd 0.500 0.000 0.731
Pd 0.500 0.500 0.500